No. 1
Here is a relaxed structure of PuTlInHg from Alexandria via LeMat-Bulk. Energies are from PBE-GGA.

Unit cell a=4.6755 b=4.6813 c=4.7737 alpha=90.00 beta=90.00 gamma=90.00
Space group Pmmm (No. 47)
Asymmetric unit:
Pu  0.0000  0.0000  0.0000 (multiplicity 1)
Tl  0.5000  0.5000  0.0000 (multiplicity 1)
In  0.0000  0.5000  0.5000 (multiplicity 1)
Hg  0.5000  0.0000  0.5000 (multiplicity 1)

DOS at the Fermi energy ... 14.1 states/eV/f.u.
ΔE_f ... -34.7 kJ/mol of formula units
DFT total energy ... -20.1 eV per formula unit
ΔE to the lowest computed polymorph ... 0.000 eV per atom

***

No. 2
Here is a relaxed structure of LaAgCl2 from Alexandria via LeMat-Bulk. Energies are from PBE-GGA.

Unit cell a=4.1952 b=4.6234 c=4.6850 alpha=90.00 beta=90.08 gamma=90.00
Space group P2/m (No. 10)
Asymmetric unit:
La  0.0000  0.0000  0.0000 (multiplicity 1)
Ag  0.0000  0.5000  0.5000 (multiplicity 1)
Cl  0.5000  0.0000  0.5000 (multiplicity 1)
Cl  0.5000  0.5000  0.0000 (multiplicity 1)

DOS at the Fermi energy ... 0.9 states/eV/f.u.
Uncorrected formation energy ... -1.154 eV/atom
DFT total energy ... -16.1 eV per formula unit
ΔE to the lowest computed polymorph ... 0.158 eV per atom

***

No. 3
Here is a relaxed structure of NaTiTc3 from Alexandria via LeMat-Bulk. Energies are from PBE-GGA.

Unit cell a=4.6213 b=4.6213 c=4.6213 alpha=90.00 beta=90.00 gamma=90.00
Space group Pm-3m (No. 221)
Asymmetric unit:
Na  0.0000  0.0000  0.0000 (multiplicity 1)
Ti  0.5000  0.5000  0.5000 (multiplicity 1)
Tc  0.0000  0.5000  0.5000 (multiplicity 3)

DOS at the Fermi energy ... 5.6 states/eV/f.u.
ΔE_f ... 675.8 kJ/mol of formula units
DFT total energy ... -33.3 eV per formula unit
ΔE to the lowest computed polymorph ... 0.000 eV per atom

***

No. 4
Here is a relaxed structure of NdTcPH from Alexandria via LeMat-Bulk. Energies are from PBE-GGA.

Unit cell a=4.0791 b=4.0791 c=7.6569 alpha=90.00 beta=90.00 gamma=90.00
Space group P4/nmm (No. 129, origin choice 2)
Asymmetric unit:
Nd  0.2500  0.2500  0.1673 (multiplicity 2)
Tc  0.2500  0.7500  0.5000 (multiplicity 2)
P  0.2500  0.2500  0.6601 (multiplicity 2)
H  0.2500  0.7500  0.0000 (multiplicity 2)

DOS at the Fermi energy ... 2.6 states/eV/f.u.
DFT total energy ... -27.2 eV per formula unit

***

No. 5
Here is a relaxed structure of SiHgMo from Alexandria via LeMat-Bulk. Energies are from PBE-GGA.

Unit cell a=3.3629 b=4.5884 c=14.1968 alpha=90.00 beta=90.00 gamma=90.00
Space group Fmm2 (No. 42)
Asymmetric unit:
Si  0.0000  0.0000  0.0000 (multiplicity 4)
Hg  0.0000  0.0000  0.3029 (multiplicity 4)
Mo  0.0000  0.0000  0.6302 (multiplicity 4)

DOS at the Fermi energy ... 2.5 states/eV/f.u.
Uncorrected formation energy ... 0.493 eV/atom
DFT total energy ... -15.1 eV per formula unit
ΔE to the lowest computed polymorph ... 0.471 eV per atom

***

No. 6
Here is a relaxed structure of Ac3Cd2In3 from Alexandria via LeMat-Bulk. Energies are from PBE-GGA.

Unit cell a=5.0809 b=11.9672 c=16.6645 alpha=90.00 beta=90.00 gamma=90.00
Space group Cmcm (No. 63)
Asymmetric unit:
Ac  0.0000  0.0924  0.1093 (multiplicity 8)
Ac  0.0000  0.3656  0.2500 (multiplicity 4)
Cd  0.0000  0.2056  0.5984 (multiplicity 8)
In  0.0000  0.3424  0.7500 (multiplicity 4)
In  0.0000  0.3875  0.0390 (multiplicity 8)

DOS at the Fermi energy ... 4.1 states/eV/f.u.
ΔE_f ... -333.3 kJ/mol of formula units
DFT total energy ... -25.8 eV per formula unit
ΔE to the lowest computed polymorph ... 0.000 eV per atom

***

No. 7
Here is a relaxed structure of LiAlRe2 from Alexandria via LeMat-Bulk. Energies are from PBE-GGA.

Unit cell a=3.0502 b=4.3372 c=8.8596 alpha=90.00 beta=90.00 gamma=90.00
Space group Cmmm (No. 65)
Asymmetric unit:
Li  0.0000  0.0000  0.0000 (multiplicity 2)
Al  0.0000  0.0000  0.5000 (multiplicity 2)
Re  0.0000  0.5000  0.2593 (multiplicity 4)

DOS at the Fermi energy ... 2.1 states/eV/f.u.
ΔE_f ... 45.8 kJ/mol of formula units
DFT total energy ... -30.1 eV per formula unit

***

No. 8
Here is a relaxed structure of YPbSe2 from Alexandria via LeMat-Bulk. Energies are from PBE-GGA.

Unit cell a=3.6176 b=3.7095 c=8.1255 alpha=90.00 beta=90.00 gamma=90.00
Space group Pmmm (No. 47)
Asymmetric unit:
Y  0.0000  0.0000  0.0000 (multiplicity 1)
Pb  0.5000  0.0000  0.5000 (multiplicity 1)
Se  0.5000  0.5000  0.1953 (multiplicity 2)

DOS at the Fermi energy ... 1.2 states/eV/f.u.
Uncorrected formation energy ... -1.113 eV/atom
DFT total energy ... -21.6 eV per formula unit

***

No. 9
Here is a relaxed structure of K4Pr3ZrTe8 from Alexandria via LeMat-Bulk. Energies are from PBE-GGA.

Unit cell a=9.0659 b=9.0659 c=24.9062 alpha=90.00 beta=90.00 gamma=120.00
Space group R-3m (No. 166, hexagonal axes)
Asymmetric unit:
K  0.0000  0.0000  0.0000 (multiplicity 3)
K  0.0000  0.5000  0.0000 (multiplicity 9)
Pr  0.0000  0.5000  0.5000 (multiplicity 9)
Zr  0.0000  0.0000  0.5000 (multiplicity 3)
Te  0.0000  0.0000  0.2403 (multiplicity 6)
Te  0.0199  0.5100  0.2367 (multiplicity 18)

DOS at the Fermi energy ... 4.9 states/eV/f.u.
Uncorrected formation energy ... -1.282 eV/atom
DFT total energy ... -72.9 eV per formula unit

***

No. 10
Here is a relaxed structure of BaGa2Rh2 from Alexandria via LeMat-Bulk. Energies are from PBE-GGA.

Unit cell a=4.4655 b=4.4655 c=10.5993 alpha=90.00 beta=90.00 gamma=90.00
Space group I4/mmm (No. 139)
Asymmetric unit:
Ba  0.0000  0.0000  0.0000 (multiplicity 2)
Ga  0.0000  0.0000  0.3563 (multiplicity 4)
Rh  0.0000  0.5000  0.2500 (multiplicity 4)

DOS at the Fermi energy ... 1.2 states/eV/f.u.
ΔE_f ... -306.9 kJ/mol of formula units
DFT total energy ... -25.9 eV per formula unit

***

No. 11
Here is a relaxed structure of HfNbI2N from Alexandria via LeMat-Bulk. Energies are from PBE-GGA.

Unit cell a=5.8307 b=5.8307 c=3.9424 alpha=90.00 beta=90.00 gamma=90.00
Space group P4/mmm (No. 123)
Asymmetric unit:
Hf  0.0000  0.0000  0.0000 (multiplicity 1)
Nb  0.5000  0.5000  0.5000 (multiplicity 1)
I  0.0000  0.5000  0.0000 (multiplicity 2)
N  0.0000  0.0000  0.5000 (multiplicity 1)

DOS at the Fermi energy ... 2.9 states/eV/f.u.
Uncorrected formation energy ... 0.475 eV/atom
DFT total energy ... -29.1 eV per formula unit
ΔE to the lowest computed polymorph ... 0.000 eV per atom

***

No. 12
Here is a relaxed structure of RbTlTe2Au from Alexandria via LeMat-Bulk. Energies are from PBE-GGA.

Unit cell a=5.7372 b=5.7372 c=5.6052 alpha=90.00 beta=90.00 gamma=90.00
Space group P4/mmm (No. 123)
Asymmetric unit:
Rb  0.0000  0.0000  0.0000 (multiplicity 1)
Tl  0.5000  0.5000  0.0000 (multiplicity 1)
Te  0.0000  0.5000  0.5000 (multiplicity 2)
Au  0.5000  0.5000  0.5000 (multiplicity 1)

DOS at the Fermi energy ... 2.7 states/eV/f.u.
Uncorrected formation energy ... -0.280 eV/atom
DFT total energy ... -14.3 eV per formula unit
ΔE to the lowest computed polymorph ... 0.159 eV per atom

***

No. 13
Here is a relaxed structure of CsSnHg from Alexandria via LeMat-Bulk. Energies are from PBE-GGA.

Unit cell a=14.4738 b=4.7488 c=6.9109 alpha=90.00 beta=91.57 gamma=90.00
Space group Cm (No. 8)
Asymmetric unit:
Cs  0.0000  0.0000  0.0000 (multiplicity 2)
Cs  0.0979  0.5000  0.4973 (multiplicity 2)
Sn  0.2969  0.0000  0.2642 (multiplicity 2)
Sn  0.3717  0.5000  0.4867 (multiplicity 2)
Hg  0.2107  0.5000  0.9995 (multiplicity 2)
Hg  0.3175  0.0000  0.7717 (multiplicity 2)

DOS at the Fermi energy ... 1.4 states/eV/f.u.
ΔE_f ... -51.2 kJ/mol of formula units
DFT total energy ... -5.7 eV per formula unit
ΔE to the lowest computed polymorph ... 0.071 eV per atom

***

No. 14
Here is a relaxed structure of LiYHPt2 from Alexandria via LeMat-Bulk. Energies are from PBE-GGA.

Unit cell a=4.1498 b=4.1498 c=4.1914 alpha=90.00 beta=90.00 gamma=90.00
Space group P4/mmm (No. 123)
Asymmetric unit:
Li  0.0000  0.0000  0.0000 (multiplicity 1)
Y  0.5000  0.5000  0.0000 (multiplicity 1)
H  0.0000  0.0000  0.5000 (multiplicity 1)
Pt  0.0000  0.5000  0.5000 (multiplicity 2)

DOS at the Fermi energy ... 1.4 states/eV/f.u.
DFT total energy ... -26.9 eV per formula unit

***

No. 15
Here is a relaxed structure of Mg2FeW from Alexandria via LeMat-Bulk. Energies are from PBE-GGA.

Unit cell a=3.7393 b=3.7393 c=4.4674 alpha=90.00 beta=90.00 gamma=90.00
Space group P4/mmm (No. 123)
Asymmetric unit:
Mg  0.0000  0.5000  0.0000 (multiplicity 2)
Fe  0.0000  0.0000  0.5000 (multiplicity 1)
W  0.5000  0.5000  0.5000 (multiplicity 1)

DOS at the Fermi energy ... 3.3 states/eV/f.u.
ΔE_f ... 197.6 kJ/mol of formula units
DFT total energy ... -22.6 eV per formula unit
ΔE to the lowest computed polymorph ... 0.327 eV per atom